# Er2MnGaO6 (PBE+U, optimized geometry)
# Total moment (μB per formula unit): 4.00
# Calculated total energy (eV/atom): -7.421
# Space-group type: No. 99
data_Er2MnGaO6
_chemical_formula_sum 'Er2 Mn1 Ga1 O6'
_symmetry_space_group_name_H-M 'P 1'
_symmetry_Int_Tables_number 1
_cell_length_a 4.852
_cell_length_b 5.121
_cell_length_c 5.121
_cell_angle_alpha 90.00
_cell_angle_beta 90.00
_cell_angle_gamma 90.00
loop_
_symmetry_equiv_pos_as_xyz
'x,y,z'
loop_
_atom_site_label
_atom_site_type_symbol
_atom_site_fract_x
_atom_site_fract_y
_atom_site_fract_z
_atom_site_occupancy
O1 O 0.725 0.753 0.753 1
O2 O 0.725 0.247 0.247 1
O3 O 0.179 0.500 0.500 1
O4 O 0.725 0.753 0.247 1
O5 O 0.189 0.000 0.000 1
O6 O 0.725 0.247 0.753 1
Mn1 Mn 0.606 0.500 0.500 1
Er1 Er 0.002 0.000 0.500 1
Er2 Er 0.002 0.500 0.000 1
Ga1 Ga 0.569 0.000 0.000 1